Entry 1:
K4AlAg | PBE | relaxed

Summary:
As for the formation energy from the elements: 0.548 eV/atom. Its raw total energy is -7.70 eV/cell. The theoretical density comes out at 1.84 g cm⁻³.

abc: 7.1923 7.1923 7.1923
angles: 60.00 60.00 60.00
With the nearest neighbours (Å) after each atom.
Element x y z (fractional)
K: 0.1248 0.1248 0.1248  6 K 3.59-3.60
K: 0.1248 0.1248 0.6256  6 K 3.59-3.60
K: 0.1248 0.6256 0.1248  6 K 3.59-3.60
K: 0.6256 0.1248 0.1248  6 K 3.59-3.60
Al: 0.5000 0.5000 0.5000  12 K 4.22, 4 Ag 4.40
Ag: 0.7500 0.7500 0.7500  12 K 4.22, 4 Al 4.40


Entry 2:
KAl4Ag8 | PBE | relaxed

Summary:
As for the formation energy from the elements: -0.049 eV/atom. Its raw total energy is -39.52 eV/cell. The theoretical density comes out at 6.88 g cm⁻³.

abc: 7.2278 7.2278 7.2278
angles: 98.11 98.11 135.88
With the nearest neighbours (Å) after each atom.
Element x y z (fractional)
K: 0.0000 0.0000 0.0000  12 Ag 3.27-3.44, 8 Al 3.61
Al: 0.0000 0.0000 0.5000  2 Al 2.71, 8 Ag 2.74-2.87
Al: 0.0000 0.5000 0.0000  2 Al 2.71, 8 Ag 2.74-2.87
Al: 0.5000 0.0000 0.0000  2 Al 2.71, 8 Ag 2.74-2.87
Al: 0.5000 0.5000 0.5000  2 Al 2.71, 8 Ag 2.74-2.87
Ag: 0.0000 0.3451 0.3451  4 Al 2.87, 5 Ag 2.93-3.00
Ag: 0.0000 0.6549 0.6549  4 Al 2.87, 5 Ag 2.93-3.00
Ag: 0.2768 0.5000 0.7768  4 Al 2.74, 6 Ag 2.95-3.00
Ag: 0.3451 0.0000 0.3451  4 Al 2.87, 5 Ag 2.93-3.00
Ag: 0.5000 0.2768 0.7768  4 Al 2.74, 6 Ag 2.95-3.00
Ag: 0.5000 0.7232 0.2232  4 Al 2.74, 6 Ag 2.95-3.00
Ag: 0.6549 0.0000 0.6549  4 Al 2.87, 5 Ag 2.93-3.00
Ag: 0.7232 0.5000 0.2232  4 Al 2.74, 6 Ag 2.95-3.00


Entry 3:
K2AlAg | PBE | relaxed

Summary:
As for the formation energy from the elements: 0.125 eV/atom. Its raw total energy is -8.29 eV/cell. The theoretical density comes out at 2.35 g cm⁻³.

abc: 5.4744 4.4431 6.7706
angles: 90.00 113.76 90.00
With the nearest neighbours (Å) after each atom.
Element x y z (fractional)
K: 0.0000 0.0000 0.0000  3 Ag 3.69-3.71, 4 Al 3.73
K: 0.2976 0.5000 0.5954  3 Al 3.67-3.74, 4 Ag 3.72-3.73
Al: 0.5991 0.5000 0.1990  2 Ag 2.55
Ag: 0.7018 0.0000 0.4019  2 Al 2.55


Entry 4:
KAl2Ag | PBE | relaxed

Summary:
As for the formation energy from the elements: 0.399 eV/atom. Its raw total energy is -9.84 eV/cell. The theoretical density comes out at 3.84 g cm⁻³. As for the polymorph energy (0 for the lowest one): 0.254 eV per atom.

abc: 4.9719 4.9719 4.9719
angles: 60.00 60.00 60.00
With the nearest neighbours (Å) after each atom.
Element x y z (fractional)
K: 0.0000 0.0000 0.0000  8 Al 3.04
Al: 0.2500 0.2500 0.2500  4 Ag 3.04, 4 K 3.04
Al: 0.7500 0.7500 0.7500  4 Ag 3.04, 4 K 3.04
Ag: 0.5000 0.5000 0.5000  8 Al 3.04


Entry 5:
K2AlAg | PBE | relaxed

Summary:
As for the formation energy from the elements: 0.430 eV/atom. Its raw total energy is -7.07 eV/cell. The theoretical density comes out at 2.69 g cm⁻³.

abc: 11.3675 11.3675 11.3675
angles: 18.67 18.67 18.67
With the nearest neighbours (Å) after each atom.
Element x y z (fractional)
K: 0.2466 0.2466 0.2466  3 Ag 3.42, 3 Al 3.60, 6 K 3.69
K: 0.7534 0.7534 0.7534  3 Ag 3.42, 3 Al 3.60, 6 K 3.69
Al: 0.0000 0.0000 0.0000  6 K 3.60, 6 Al 3.69
Ag: 0.5000 0.5000 0.5000  6 K 3.42, 6 Ag 3.69


Entry 6:
K2AlAg | PBE | relaxed

Summary:
As for the formation energy from the elements: 0.360 eV/atom. Its raw total energy is -7.35 eV/cell. The theoretical density comes out at 2.77 g cm⁻³.

abc: 6.3998 6.3998 6.3998
angles: 135.38 135.38 64.95
With the nearest neighbours (Å) after each atom.
Element x y z (fractional)
K: 0.2500 0.7500 0.5000  4 K 3.44, 4 Al 3.63, 4 Ag 3.63
K: 0.7500 0.2500 0.5000  4 K 3.44, 4 Al 3.63, 4 Ag 3.63
Al: 0.0000 0.0000 0.0000  4 Ag 3.44, 8 K 3.63
Ag: 0.5000 0.5000 0.0000  4 Al 3.44, 8 K 3.63


Entry 7:
KAl7Ag12 | PBE | relaxed

Summary:
As for the formation energy from the elements: 0.038 eV/atom. Its raw total energy is -60.75 eV/cell. The theoretical density comes out at 6.68 g cm⁻³.

abc: 8.1870 8.1870 8.1870
angles: 111.97 111.97 111.97
With the nearest neighbours (Å) after each atom.
Element x y z (fractional)
K: 0.0000 0.0000 0.0000  12 Ag 3.41-3.53, 8 Al 3.49-3.56
Al: 0.1738 0.1738 0.5305  7 Ag 2.67-2.74, 1 Al 2.87
Al: 0.1738 0.5305 0.1738  7 Ag 2.67-2.74, 1 Al 2.87
Al: 0.4695 0.8262 0.8262  7 Ag 2.67-2.74, 1 Al 2.87
Al: 0.5000 0.5000 0.5000  6 Ag 2.81
Al: 0.5305 0.1738 0.1738  7 Ag 2.67-2.74, 1 Al 2.87
Al: 0.8262 0.4695 0.8262  7 Ag 2.67-2.74, 1 Al 2.87
Al: 0.8262 0.8262 0.4695  7 Ag 2.67-2.74, 1 Al 2.87
Ag: 0.0000 0.2598 0.7402  4 Al 2.67-2.74, 4 Ag 2.93-2.95
Ag: 0.0000 0.7402 0.2598  4 Al 2.67-2.74, 4 Ag 2.93-2.95
Ag: 0.1095 0.4306 0.4306  4 Al 2.68-2.81, 3 Ag 2.81-2.95
Ag: 0.2598 0.0000 0.7402  4 Al 2.67-2.74, 4 Ag 2.93-2.95
Ag: 0.2598 0.7402 0.0000  4 Al 2.67-2.74, 4 Ag 2.93-2.95
Ag: 0.4306 0.1095 0.4306  4 Al 2.68-2.81, 3 Ag 2.81-2.95
Ag: 0.4306 0.4306 0.1095  4 Al 2.68-2.81, 3 Ag 2.81-2.95
Ag: 0.5694 0.5694 0.8905  4 Al 2.68-2.81, 3 Ag 2.81-2.95
Ag: 0.5694 0.8905 0.5694  4 Al 2.68-2.81, 3 Ag 2.81-2.95
Ag: 0.7402 0.0000 0.2598  4 Al 2.67-2.74, 4 Ag 2.93-2.95
Ag: 0.7402 0.2598 0.0000  4 Al 2.67-2.74, 4 Ag 2.93-2.95
Ag: 0.8905 0.5694 0.5694  4 Al 2.68-2.81, 3 Ag 2.81-2.95


Entry 8:
K2Al2Ag | PBE | relaxed

Summary:
As for the formation energy from the elements: 0.223 eV/atom. Its raw total energy is -11.41 eV/cell. The theoretical density comes out at 2.48 g cm⁻³. As for the polymorph energy (0 for the lowest one): 0.028 eV per atom.

abc: 11.0444 11.0444 11.0444
angles: 159.79 159.79 28.74
With the nearest neighbours (Å) after each atom.
Element x y z (fractional)
K: 0.1011 0.1011 0.0000  4 Ag 3.49, 4 Al 3.73, 4 K 3.88
K: 0.8989 0.8989 0.0000  4 Ag 3.49, 4 Al 3.73, 4 K 3.88
Al: 0.2500 0.7500 0.5000  4 Al 2.74
Al: 0.7500 0.2500 0.5000  4 Al 2.74
Ag: 0.5000 0.5000 0.0000  8 K 3.49, 4 Ag 3.88